(1)
Material: Sr2CaEr
Method: DFT, GGA-PBE
State: relaxed

Geometry as POSCAR:
```
Sr2CaEr
1.0
-1.669 3.551 0.048
-3.624 0.445 1.436
3.207 3.507 12.364
Ca Sr Er
1 2 1
Direct
0.500 0.500 0.500 Ca
0.254 0.254 0.237 Sr
0.079 0.079 0.763 Sr
0.667 0.667 0.000 Er
```

As for the energy relative to the elements: 165 meV/atom. The raw total energy comes out at -2.317 eV per atom. The energy above the most stable polymorph in this dataset is 0.003 eV per atom. Its volume is 43.50 Å³/atom. The space group is R3m, No. 160.



(2)
Material: Sr2CaEr
Method: DFT, GGA-PBE
State: relaxed

Geometry as POSCAR:
```
Sr2CaEr
1.0
3.829 0.000 0.000
1.914 3.316 0.000
1.914 1.105 13.797
Sr Ca Er
2 1 1
Direct
0.085 0.085 0.744 Sr
0.915 0.915 0.256 Sr
0.500 0.500 0.500 Ca
0.000 0.000 0.000 Er
```

As for the energy relative to the elements: 318 meV/atom. The raw total energy comes out at -2.164 eV per atom. The energy above the most stable polymorph in this dataset is 0.155 eV per atom. Its volume is 43.79 Å³/atom. The space group is R-3m, No. 166.



(3)
Material: Sr2CaEr
Method: DFT, GGA-PBE
State: relaxed

Geometry as POSCAR:
```
Sr2CaEr
1.0
-2.233 2.275 2.997
-4.525 1.031 -4.153
-2.866 -5.219 1.826
Sr Er Ca
2 1 1
Direct
0.000 0.500 0.000 Sr
0.000 0.000 0.500 Sr
0.500 0.500 0.500 Er
0.500 0.000 0.000 Ca
```

As for the energy relative to the elements: 192 meV/atom. The raw total energy comes out at -2.290 eV per atom. The energy above the most stable polymorph in this dataset is 0.030 eV per atom. Its volume is 42.42 Å³/atom. The space group is P4/mmm, No. 123.



(4)
Material: SrCa14Er
Method: DFT, GGA-PBE
State: relaxed

Geometry as POSCAR:
```
SrCa14Er
1.0
-7.705 -0.214 -1.069
4.416 -6.009 -2.222
-1.456 -5.344 11.562
Ca Sr Er
14 1 1
Direct
0.870 0.621 0.251 Ca
0.210 0.292 0.000 Ca
0.379 0.130 0.749 Ca
0.708 0.790 0.000 Ca
0.377 0.623 0.745 Ca
0.377 0.623 0.255 Ca
0.870 0.621 0.749 Ca
0.874 0.126 0.753 Ca
0.040 0.457 0.500 Ca
0.209 0.791 0.000 Ca
0.379 0.130 0.251 Ca
0.543 0.960 0.500 Ca
0.874 0.126 0.247 Ca
0.709 0.291 0.000 Ca
0.041 0.959 0.500 Sr
0.541 0.459 0.500 Er
```

As for the energy relative to the elements: 46 meV/atom. The raw total energy comes out at -2.096 eV per atom. Its volume is 41.98 Å³/atom. The space group is Amm2, No. 38.



> Which value of raw total energy does entry 1 give?

-2.317 eV per atom